Material: CsTaSi2S8
Method: DFT, PBE
State: optimized geometry

Its density of states at the Fermi level is 9.9 states/eV per cell. Its crystal system is trigonal. For the formation energy from raw total energies, the calculation gives -557 meV per atom. The symmetry is No. 147.

Structure (POSCAR):
```
CsTaSi2S8
1.0
-2.987 1.790 -5.118
2.065 -5.814 0.505
-8.049 -2.528 3.814
S Si Ta Cs
8 2 1 1
Direct
0.667 0.333 0.063
0.333 0.667 0.937
0.001 0.330 0.648
0.671 0.001 0.352
0.999 0.670 0.352
0.330 0.329 0.352
0.329 0.999 0.648
0.670 0.671 0.648
0.333 0.667 0.710
0.667 0.333 0.290
0.000 0.000 0.500
0.000 0.000 0.000
```